Record 1
VASP calculation (PBE) on an optimized crystal structure of Sr2GaAs3Pd4.

Geometry as CIF:
```
data_Sr2GaAs3Pd4
_space_group_name_H-M_alt 'P -4 m 2'
_space_group_IT_number 115
_cell_length_a 4.422
_cell_length_b 4.422
_cell_length_c 10.377
_cell_angle_alpha 90.00
_cell_angle_beta 90.00
_cell_angle_gamma 90.00
loop_
_space_group_symop_operation_xyz
'x,y,z'
'y,-x,-z'
'-x,-y,z'
'-y,x,-z'
'-x,y,z'
'-y,-x,-z'
'x,-y,z'
'y,x,-z'
loop_
_atom_site_label
_atom_site_fract_x
_atom_site_fract_y
_atom_site_fract_z
Sr1 0.000 0.500 0.247
Ga1 0.000 0.000 0.500
As1 0.000 0.500 0.871
As2 0.500 0.500 0.500
Pd1 0.000 0.000 0.000
Pd2 0.000 0.500 0.628
Pd3 0.500 0.500 0.000
```

Summary:
The value obtained for the calculated density is 7.3 g cm⁻³. The calculation puts the density of states at the Fermi level at 5.34 states/eV/f.u. For the energy relative to the elements, the calculation gives -0.77 eV/atom. As for the magnetization: 0.00 μB per cell.

Record 2
VASP calculation (PBE) on an optimized crystal structure of Pm2GaAs.

Geometry as CIF:
```
data_Pm2GaAs
_space_group_name_H-M_alt 'P 4/m m m'
_space_group_IT_number 123
_space_group_name_Hall '-P 4 2'
_cell_length_a 3.801
_cell_length_b 3.801
_cell_length_c 6.783
_cell_angle_alpha 90.00
_cell_angle_beta 90.00
_cell_angle_gamma 90.00
loop_
_atom_site_label
_atom_site_fract_x
_atom_site_fract_y
_atom_site_fract_z
Pm1 0.000 0.000 0.240
Ga1 0.500 0.500 0.500
As1 0.500 0.500 0.000
```

Summary:
The value obtained for the calculated density is 7.4 g cm⁻³. The calculation puts the density of states at the Fermi level at 1.91 states/eV/f.u. For the energy relative to the elements, the calculation gives -0.83 eV/atom. As for the magnetization: 0.00 μB per cell.

Record 3
VASP calculation (PBE) on an optimized crystal structure of Pm2GaAs.

Geometry as CIF:
```
data_Pm2GaAs
_space_group_name_H-M_alt 'R -3 m'
_space_group_IT_number 166
_space_group_name_Hall '-R 3 2"'
_cell_length_a 4.1163
_cell_length_b 4.1163
_cell_length_c 22.5175
_cell_angle_alpha 90.00
_cell_angle_beta 90.00
_cell_angle_gamma 120.00
loop_
_atom_site_label
_atom_site_fract_x
_atom_site_fract_y
_atom_site_fract_z
Pm1 0.0000 0.0000 0.2430
Ga1 0.0000 0.0000 0.0000
As1 0.0000 0.0000 0.5000
```

Summary:
The value obtained for the calculated density is 6.6 g cm⁻³. The calculation puts the density of states at the Fermi level at 1.64 states/eV/f.u. For the energy relative to the elements, the calculation gives -0.95 eV/atom. As for the magnetization: 0.00 μB per cell.

Record 4
VASP calculation (PBE) on an optimized crystal structure of PmGaAs.

Geometry as CIF:
```
data_PmGaAs
_space_group_name_H-M_alt 'R -3 m'
_space_group_IT_number 166
_space_group_name_Hall '-R 3 2"'
_cell_length_a 4.8406
_cell_length_b 4.8406
_cell_length_c 23.7929
_cell_angle_alpha 90.00
_cell_angle_beta 90.00
_cell_angle_gamma 120.00
loop_
_atom_site_label
_atom_site_fract_x
_atom_site_fract_y
_atom_site_fract_z
Pm1 0.0000 0.0000 0.0922
Ga1 0.0000 0.0000 0.3249
As1 0.0000 0.0000 0.2175
```

Summary:
The value obtained for the calculated density is 6.0 g cm⁻³. The calculation puts the density of states at the Fermi level at 0.42 states/eV/f.u. For the energy relative to the elements, the calculation gives -0.74 eV/atom. As for the magnetization: 0.00 μB per cell.

Record 5
VASP calculation (PBE) on an optimized crystal structure of Pm2GaAs.

Geometry as CIF:
```
data_Pm2GaAs
_space_group_name_H-M_alt 'F m -3 m'
_space_group_IT_number 225
_space_group_name_Hall '-F 4 2 3'
_cell_length_a 7.345
_cell_length_b 7.345
_cell_length_c 7.345
_cell_angle_alpha 90.00
_cell_angle_beta 90.00
_cell_angle_gamma 90.00
loop_
_atom_site_label
_atom_site_fract_x
_atom_site_fract_y
_atom_site_fract_z
Pm1 0.250 0.250 0.250
Ga1 0.000 0.000 0.000
As1 0.000 0.000 0.500
```

Summary:
The value obtained for the calculated density is 7.3 g cm⁻³. The calculation puts the density of states at the Fermi level at 3.94 states/eV/f.u. For the energy relative to the elements, the calculation gives -0.68 eV/atom. As for the magnetization: 0.00 μB per cell.

Record 6
VASP calculation (PBE) on an optimized crystal structure of PmGaAs.

Geometry as CIF:
```
data_PmGaAs
_space_group_name_H-M_alt 'P -6 m 2'
_space_group_IT_number 187
_space_group_name_Hall 'P -6 2'
_cell_length_a 4.5068
_cell_length_b 4.5068
_cell_length_c 3.9213
_cell_angle_alpha 90.00
_cell_angle_beta 90.00
_cell_angle_gamma 120.00
loop_
_atom_site_label
_atom_site_fract_x
_atom_site_fract_y
_atom_site_fract_z
Pm1 0.0000 0.0000 0.0000
Ga1 0.6667 0.3333 0.5000
As1 0.3333 0.6667 0.5000
```

Summary:
The value obtained for the calculated density is 7.0 g cm⁻³. The calculation puts the density of states at the Fermi level at 1.70 states/eV/f.u. For the energy relative to the elements, the calculation gives -0.72 eV/atom. As for the magnetization: 0.00 μB per cell.

Record 7
VASP calculation (PBE) on an optimized crystal structure of Pm2GaAs.

Geometry as CIF:
```
data_Pm2GaAs
_space_group_name_H-M_alt 'C m c m'
_space_group_IT_number 63
_space_group_name_Hall '-C 2c 2'
_cell_length_a 4.311
_cell_length_b 23.808
_cell_length_c 4.197
_cell_angle_alpha 90.00
_cell_angle_beta 90.00
_cell_angle_gamma 90.00
loop_
_atom_site_label
_atom_site_fract_x
_atom_site_fract_y
_atom_site_fract_z
Pm1 0.000 0.067 0.250
Pm2 0.000 0.312 0.250
Ga1 0.000 0.465 0.250
As1 0.000 0.188 0.250
```

Summary:
The value obtained for the calculated density is 6.7 g cm⁻³. The calculation puts the density of states at the Fermi level at 2.44 states/eV/f.u. For the energy relative to the elements, the calculation gives -1.05 eV/atom. As for the magnetization: 0.00 μB per cell.

Record 8
VASP calculation (PBE) on an optimized crystal structure of PmGaAs.

Geometry as CIF:
```
data_PmGaAs
_space_group_name_H-M_alt 'I 4 m m'
_space_group_IT_number 107
_space_group_name_Hall 'I 4 -2'
_cell_length_a 3.603
_cell_length_b 3.603
_cell_length_c 10.262
_cell_angle_alpha 90.00
_cell_angle_beta 90.00
_cell_angle_gamma 90.00
loop_
_atom_site_label
_atom_site_fract_x
_atom_site_fract_y
_atom_site_fract_z
Pm1 0.000 0.000 0.000
Ga1 0.000 0.000 0.698
As1 0.000 0.000 0.309
```

Summary:
The value obtained for the calculated density is 7.2 g cm⁻³. The calculation puts the density of states at the Fermi level at 2.95 states/eV/f.u. For the energy relative to the elements, the calculation gives -0.57 eV/atom. As for the magnetization: 0.00 μB per cell.

Record 9
VASP calculation (PBE) on an optimized crystal structure of Pm2Ga3AsPt4.

Geometry as CIF:
```
data_Pm2Ga3AsPt4
_space_group_name_H-M_alt 'P -4 m 2'
_space_group_IT_number 115
_cell_length_a 4.346
_cell_length_b 4.346
_cell_length_c 10.254
_cell_angle_alpha 90.00
_cell_angle_beta 90.00
_cell_angle_gamma 90.00
loop_
_space_group_symop_operation_xyz
'x,y,z'
'y,-x,-z'
'-x,-y,z'
'-y,x,-z'
'-x,y,z'
'-y,-x,-z'
'x,-y,z'
'y,x,-z'
loop_
_atom_site_label
_atom_site_fract_x
_atom_site_fract_y
_atom_site_fract_z
Pm1 0.000 0.500 0.249
Ga1 0.000 0.000 0.000
Ga2 0.000 0.500 0.629
As1 0.500 0.500 0.000
Pt1 0.000 0.000 0.500
Pt2 0.000 0.500 0.870
Pt3 0.500 0.500 0.500
```

Summary:
The value obtained for the calculated density is 11.6 g cm⁻³. The calculation puts the density of states at the Fermi level at 5.55 states/eV/f.u. For the energy relative to the elements, the calculation gives -0.94 eV/atom. As for the magnetization: 0.00 μB per cell.

Record 10
VASP calculation (PBE) on an optimized crystal structure of Pm3GaAs2Rh9.

Geometry as CIF:
```
data_Pm3GaAs2Rh9
_space_group_name_H-M_alt 'P -3 m 1'
_space_group_IT_number 164
_space_group_name_Hall '-P 3 2"'
_cell_length_a 6.2581
_cell_length_b 6.2581
_cell_length_c 9.0185
_cell_angle_alpha 90.00
_cell_angle_beta 90.00
_cell_angle_gamma 120.00
loop_
_atom_site_label
_atom_site_fract_x
_atom_site_fract_y
_atom_site_fract_z
Pm1 0.0000 0.0000 0.0000
Pm2 0.3333 0.6667 0.7075
Ga1 0.0000 0.0000 0.5000
As1 0.3333 0.6667 0.1740
Rh1 0.0000 0.5000 0.0000
Rh2 0.1420 0.2840 0.2803
```

Summary:
The value obtained for the calculated density is 8.6 g cm⁻³. The calculation puts the density of states at the Fermi level at 10.36 states/eV/f.u. For the energy relative to the elements, the calculation gives -0.43 eV/atom. As for the magnetization: 0.00 μB per cell.

Record 11
VASP calculation (PBE) on an optimized crystal structure of Pm6GaAs2Se3.

Geometry as CIF:
```
data_Pm6GaAs2Se3
_space_group_name_H-M_alt 'C 1 2/m 1'
_space_group_IT_number 12
_cell_length_a 18.501
_cell_length_b 4.193
_cell_length_c 8.542
_cell_angle_alpha 90.00
_cell_angle_beta 103.45
_cell_angle_gamma 90.00
loop_
_space_group_symop_operation_xyz
'x,y,z'
'-x,-y,-z'
'-x,y,-z'
'x,-y,z'
'x+1/2,y+1/2,z'
'-x+1/2,-y+1/2,-z'
'-x+1/2,y+1/2,-z'
'x+1/2,-y+1/2,z'
loop_
_atom_site_label
_atom_site_fract_x
_atom_site_fract_y
_atom_site_fract_z
Pm1 0.001 0.000 0.249
Pm2 0.165 0.500 0.088
Pm3 0.169 0.500 0.577
Ga1 0.000 0.500 0.000
As1 0.167 0.000 0.334
Se1 0.000 0.500 0.500
Se2 0.168 0.000 0.832
```

Summary:
For the uncorrected formation energy, the calculation gives -18.69 eV/f.u. The value obtained for the calculated density is 6.8 g cm⁻³. The calculation puts the density of states at the Fermi level at 3.41 states/eV/f.u. As for the magnetization: 0.00 μB per cell.

Record 12
VASP calculation (PBE) on an optimized crystal structure of Pm6GaTe3As2.

Geometry as CIF:
```
data_Pm6GaTe3As2
_space_group_name_H-M_alt 'C 1 2/m 1'
_space_group_IT_number 12
_cell_length_a 19.176
_cell_length_b 4.300
_cell_length_c 8.872
_cell_angle_alpha 90.00
_cell_angle_beta 104.67
_cell_angle_gamma 90.00
loop_
_space_group_symop_operation_xyz
'x,y,z'
'-x,-y,-z'
'-x,y,-z'
'x,-y,z'
'x+1/2,y+1/2,z'
'-x+1/2,-y+1/2,-z'
'-x+1/2,y+1/2,-z'
'x+1/2,-y+1/2,z'
loop_
_atom_site_label
_atom_site_fract_x
_atom_site_fract_y
_atom_site_fract_z
Pm1 0.005 0.000 0.238
Pm2 0.161 0.500 0.097
Pm3 0.173 0.500 0.567
Ga1 0.000 0.500 0.000
Te1 0.000 0.500 0.500
Te2 0.168 0.000 0.832
As1 0.167 0.000 0.335
```

Summary:
For the uncorrected formation energy, the calculation gives -16.35 eV/f.u. The value obtained for the calculated density is 6.9 g cm⁻³. The calculation puts the density of states at the Fermi level at 3.59 states/eV/f.u. As for the magnetization: 0.00 μB per cell.